No. 1
# GGA-PBE TaCd2Te, optimized geometry
data_TaCd2Te
_cell_length_a 3.0933
_cell_length_b 3.0933
_cell_length_c 33.3972
_cell_angle_alpha 90.00
_cell_angle_beta 90.00
_cell_angle_gamma 120.00
_symmetry_space_group_name_H-M 'R -3 m'
_symmetry_Int_Tables_number 166
_symmetry_space_group_name_Hall '-R 3 2"'
loop_
_atom_site_label
_atom_site_fract_x
_atom_site_fract_y
_atom_site_fract_z
Ta1 0.0000 0.0000 0.0000
Cd1 0.0000 0.0000 0.2595
Te1 0.0000 0.0000 0.5000
# - Formation energy (no corrections): 0.388 eV per atom
# - Fermi-level density of states: 1.30 states/eV per atom


No. 2
# GGA-PBE Y2GaRhC, optimized geometry
data_Y2GaRhC
_cell_length_a 4.9644
_cell_length_b 4.9644
_cell_length_c 3.9306
_cell_angle_alpha 90.00
_cell_angle_beta 90.00
_cell_angle_gamma 90.00
_symmetry_space_group_name_H-M 'P 4/m m m'
_symmetry_Int_Tables_number 123
_symmetry_space_group_name_Hall '-P 4 2'
loop_
_atom_site_label
_atom_site_fract_x
_atom_site_fract_y
_atom_site_fract_z
Y1 0.0000 0.5000 0.0000
Ga1 0.0000 0.0000 0.5000
Rh1 0.5000 0.5000 0.5000
C1 0.5000 0.5000 0.0000
# - ΔH_f (0 K): -0.5042 eV per atom
# - Fermi-level density of states: 0.77 states/eV per atom


No. 3
# GGA-PBE ZnCo2Ru, optimized geometry
data_ZnCo2Ru
_cell_length_a 3.6119
_cell_length_b 3.6119
_cell_length_c 7.4586
_cell_angle_alpha 90.00
_cell_angle_beta 90.00
_cell_angle_gamma 90.00
_symmetry_space_group_name_H-M 'I -4 m 2'
_symmetry_Int_Tables_number 119
_symmetry_space_group_name_Hall 'I -4 -2'
loop_
_atom_site_label
_atom_site_fract_x
_atom_site_fract_y
_atom_site_fract_z
Zn1 0.0000 0.0000 0.0000
Co1 0.0000 0.0000 0.5000
Co2 0.0000 0.5000 0.7500
Ru1 0.0000 0.5000 0.2500
# - ΔH_f (0 K): 0.1503 eV per atom
# - Fermi-level density of states: 1.30 states/eV per atom


- Which formula does entry 2 have?
  Y2GaRhC


- Which value of Fermi-level density of states does entry 1 give?
  1.30 states/eV per atom


- Which formula does entry 3 have?
  ZnCo2Ru